1.
A plane-wave DFT calculation with PBE was carried out for a relaxed structure of NaCd3Sb2.

Raw formation energy (eV per atom): -0.10
Energy above the lowest structure with this stoichiometry (meV per atom): 2
Final energy (eV/f.u.): -12.937
Crystal system: monoclinic
Volume (Å³/f.u.): 177

a = 18.1607 Å, b = 4.6370 Å, c = 9.8871 Å
α = 90.00°, β = 121.83°, γ = 90.00°
Last column: nearest neighbours and their distance in Å.
Space group C2/m (No. 12)
Asymmetric unit:
Na 0.1238 0.0000 0.1180 (multiplicity 4)  4 Sb 3.25-3.44, 2 Cd 3.45
Cd 0.0095 0.0000 0.6507 (multiplicity 4)  1 Cd 2.81, 2 Sb 2.98
Cd 0.1474 0.5000 0.5510 (multiplicity 4)  3 Sb 2.85-2.98
Cd 0.1494 0.5000 0.8870 (multiplicity 4)  4 Sb 2.93-3.07
Sb 0.0338 0.5000 0.2138 (multiplicity 4)  4 Cd 2.85-2.98
Sb 0.2144 0.0000 0.7736 (multiplicity 4)  6 Cd 2.94-3.25

=====

2.
A plane-wave DFT calculation with PBE was carried out for a relaxed structure of Ba2NaCaBr.

Raw formation energy (eV per atom): -0.48
Final energy (eV/f.u.): -11.218
Crystal system: tetragonal
Volume (Å³/f.u.): 248

a = 6.5909 Å, b = 6.5909 Å, c = 5.7027 Å
α = 90.00°, β = 90.00°, γ = 90.00°
Last column: nearest neighbours and their distance in Å.
Space group P4/mmm (No. 123)
Asymmetric unit:
Ba 0.0000 0.5000 0.0000 (multiplicity 2)  2 Br 3.30
Na 0.0000 0.0000 0.5000 (multiplicity 1)  2 Br 2.85
Ca 0.5000 0.5000 0.5000 (multiplicity 1)  8 Ba 4.36, 4 Na 4.66
Br 0.0000 0.0000 0.0000 (multiplicity 1)  2 Na 2.85

=====

3.
A plane-wave DFT calculation with PBE was carried out for a relaxed structure of GeSbClF2.

Raw formation energy (eV per atom): -0.87
Final energy (eV/f.u.): -18.665
Crystal system: tetragonal
Volume (Å³/f.u.): 119

a = 4.3544 Å, b = 4.3544 Å, c = 6.2953 Å
α = 90.00°, β = 90.00°, γ = 90.00°
Last column: nearest neighbours and their distance in Å.
Space group P4/mmm (No. 123)
Asymmetric unit:
Ge 0.0000 0.0000 0.0000 (multiplicity 1)  4 Cl 3.08
Sb 0.5000 0.5000 0.5000 (multiplicity 1)  4 F 2.18
Cl 0.5000 0.5000 0.0000 (multiplicity 1)  4 Ge 3.08, 2 Sb 3.15
F 0.0000 0.5000 0.5000 (multiplicity 2)  2 Sb 2.18

=====

4.
A plane-wave DFT calculation with PBE was carried out for a relaxed structure of Pm3Zn7Ru2.

Final energy (eV/f.u.): -44.448
Crystal system: trigonal
Formation energy from the elements (eV per atom): -0.227
Volume (Å³/f.u.): 224

a = 5.4344 Å, b = 5.4344 Å, c = 26.2534 Å
α = 90.00°, β = 90.00°, γ = 120.00°
Last column: nearest neighbours and their distance in Å.
Space group R-3m (No. 166, hexagonal axes)
Asymmetric unit:
Pm 0.0000 0.0000 0.0000 (multiplicity 3)  6 Ru 3.14, 12 Zn 3.43
Pm 0.0000 0.0000 0.1423 (multiplicity 6)  12 Zn 3.17-3.32, 3 Pm 3.39
Zn 0.0000 0.0000 0.5000 (multiplicity 3)  6 Zn 2.76
Zn 0.0012 0.5006 0.0799 (multiplicity 18)  2 Ru 2.61-2.62, 5 Zn 2.71-2.76
Ru 0.0000 0.0000 0.3334 (multiplicity 6)  6 Zn 2.61-2.62

=====

5.
A plane-wave DFT calculation with PBE was carried out for a relaxed structure of CoRe3Br.

Raw formation energy (eV per atom): 2.16
Energy above the lowest structure with this stoichiometry (meV per atom): 0
Final energy (eV/f.u.): -35.317
Crystal system: cubic
Volume (Å³/f.u.): 92

a = 4.5089 Å, b = 4.5089 Å, c = 4.5089 Å
α = 90.00°, β = 90.00°, γ = 90.00°
Last column: nearest neighbours and their distance in Å.
Space group Pm-3m (No. 221)
Asymmetric unit:
Co 0.0000 0.0000 0.0000 (multiplicity 1)  6 Re 2.25
Re 0.0000 0.0000 0.5000 (multiplicity 3)  2 Co 2.25
Br 0.5000 0.5000 0.5000 (multiplicity 1)  12 Re 3.19

=====

6.
A plane-wave DFT calculation with PBE was carried out for a relaxed structure of Sm4HoTm5.

Energy above the lowest structure with this stoichiometry (meV per atom): 0
Final energy (eV/f.u.): -43.856
Crystal system: monoclinic
Formation energy from the elements (eV per atom): 0.196
Volume (Å³/f.u.): 330

a = 16.9989 Å, b = 3.5000 Å, c = 11.1051 Å
α = 90.00°, β = 90.08°, γ = 90.00°
Last column: nearest neighbours and their distance in Å.
Space group C2/m (No. 12)
Asymmetric unit:
Sm 0.0310 0.0000 0.2494 (multiplicity 4)  4 Tm 3.29-3.32, 2 Ho 3.33, 4 Sm 3.50-3.63
Sm 0.1561 0.5000 0.7498 (multiplicity 4)  4 Sm 3.50-3.63, 7 Tm 3.65-3.84, 1 Ho 3.84
Ho 0.0000 0.5000 0.5000 (multiplicity 2)  4 Sm 3.33, 4 Tm 3.48, 2 Ho 3.50
Tm 0.0000 0.5000 0.0000 (multiplicity 2)  4 Sm 3.32, 6 Tm 3.47-3.50
Tm 0.1733 0.0000 0.0491 (multiplicity 4)  2 Sm 3.29-3.66, 6 Tm 3.33-3.50
Tm 0.1736 0.0000 0.4498 (multiplicity 4)  2 Sm 3.29-3.65, 4 Tm 3.32-3.50, 2 Ho 3.48

=====

7.
A plane-wave DFT calculation with PBE was carried out for a relaxed structure of U2TcC2.

Energy above the lowest structure with this stoichiometry (meV per atom): 348
Final energy (eV/f.u.): -50.380
Crystal system: monoclinic
Formation energy from the elements (eV per atom): 0.202
Volume (Å³/f.u.): 74

a = 3.7205 Å, b = 12.7934 Å, c = 6.4625 Å
α = 90.00°, β = 106.46°, γ = 90.00°
Last column: nearest neighbours and their distance in Å.
Space group C2/c (No. 15)
Asymmetric unit:
U 0.1696 0.1248 0.0865 (multiplicity 8)  4 C 2.38-2.44
Tc 0.0000 0.3749 0.2500 (multiplicity 4)  4 C 2.24
C 0.0000 0.0271 0.7500 (multiplicity 4)  2 Tc 2.24, 4 U 2.38-2.43, 1 C 2.51
C 0.0000 0.2232 0.7500 (multiplicity 4)  2 Tc 2.24, 4 U 2.38-2.44, 1 C 2.51

=====

8.
A plane-wave DFT calculation with PBE was carried out for a relaxed structure of BaTl3P2O8.

Raw formation energy (eV per atom): -1.87
Final energy (eV/f.u.): -85.642
Crystal system: trigonal
Volume (Å³/f.u.): 238

a = 5.9045 Å, b = 5.9045 Å, c = 7.8760 Å
α = 90.00°, β = 90.00°, γ = 120.00°
Last column: nearest neighbours and their distance in Å.
Space group P-3m1 (No. 164)
Asymmetric unit:
Ba 0.0000 0.0000 0.0000 (multiplicity 1)  6 O 2.73
Tl 0.0000 0.0000 0.5000 (multiplicity 1)  6 O 2.79
Tl 0.3333 0.6667 0.1967 (multiplicity 2)  1 O 2.32
P 0.3333 0.6667 0.6838 (multiplicity 2)  4 O 1.52-1.58
O 0.1893 0.3787 0.7552 (multiplicity 6)  1 P 1.58
O 0.3333 0.6667 0.4912 (multiplicity 2)  1 P 1.52

=====

9.
A plane-wave DFT calculation with PBE was carried out for a relaxed structure of Ac2PmNd.

Energy above the lowest structure with this stoichiometry (meV per atom): 0
Final energy (eV/f.u.): -17.629
Crystal system: tetragonal
Formation energy from the elements (eV per atom): 0.027
Volume (Å³/f.u.): 158

a = 5.4615 Å, b = 5.4615 Å, c = 5.2858 Å
α = 90.00°, β = 90.00°, γ = 90.00°
Last column: nearest neighbours and their distance in Å.
Space group P4/mmm (No. 123)
Asymmetric unit:
Ac 0.0000 0.5000 0.0000 (multiplicity 2)  4 Nd 3.80, 4 Pm 3.80, 4 Ac 3.86
Pm 0.0000 0.0000 0.5000 (multiplicity 1)  8 Ac 3.80, 4 Nd 3.86
Nd 0.5000 0.5000 0.5000 (multiplicity 1)  8 Ac 3.80, 4 Pm 3.86

=====

10.
A plane-wave DFT calculation with PBE was carried out for a relaxed structure of PmPaSe3.

Raw formation energy (eV per atom): -1.61
Energy above the lowest structure with this stoichiometry (meV per atom): 0
Final energy (eV/f.u.): -32.730
Crystal system: orthorhombic
Volume (Å³/f.u.): 129

a = 7.8798 Å, b = 4.0550 Å, c = 16.1350 Å
α = 90.00°, β = 90.00°, γ = 90.00°
Last column: nearest neighbours and their distance in Å.
Space group Pnma (No. 62)
Asymmetric unit:
Pm 0.0884 0.2500 0.2068 (multiplicity 4)  7 Se 2.95-3.18
Pa 0.2399 0.7500 0.4601 (multiplicity 4)  7 Se 2.91-3.02
Se 0.0050 0.2500 0.3998 (multiplicity 4)  3 Pa 2.91-2.97, 1 Pm 3.18
Se 0.1179 0.7500 0.0705 (multiplicity 4)  3 Pa 2.92-3.02, 2 Pm 3.00
Se 0.1851 0.2500 0.7805 (multiplicity 4)  4 Pm 2.95-2.97, 1 Pa 2.96

=====

11.
A plane-wave DFT calculation with PBE was carried out for a relaxed structure of CaLaTe2.

Raw formation energy (eV per atom): -1.46
Energy above the lowest structure with this stoichiometry (meV per atom): 138
Final energy (eV/f.u.): -19.041
Crystal system: orthorhombic
Volume (Å³/f.u.): 131

a = 4.8072 Å, b = 4.2744 Å, c = 12.7357 Å
α = 90.00°, β = 90.00°, γ = 90.00°
Last column: nearest neighbours and their distance in Å.
Space group Amm2 (No. 38)
Asymmetric unit:
Ca 0.0000 0.0000 0.0000 (multiplicity 2)  5 Te 3.05-3.22
La 0.5000 0.0000 0.2447 (multiplicity 2)  7 Te 3.22-3.61
Te 0.0000 0.0000 0.7603 (multiplicity 2)  1 Ca 3.05, 4 La 3.22
Te 0.5000 0.0000 0.5163 (multiplicity 2)  4 Ca 3.22, 3 La 3.46-3.61

=====

12.
A plane-wave DFT calculation with PBE was carried out for a relaxed structure of CaCr2Tc.

Energy above the lowest structure with this stoichiometry (meV per atom): 312
Final energy (eV/f.u.): -28.535
Crystal system: orthorhombic
Formation energy from the elements (eV per atom): 0.770
Volume (Å³/f.u.): 68

a = 3.2027 Å, b = 4.5251 Å, c = 4.6644 Å
α = 90.00°, β = 90.00°, γ = 90.00°
Last column: nearest neighbours and their distance in Å.
Space group Pmmm (No. 47)
Asymmetric unit:
Ca 0.0000 0.0000 0.0000 (multiplicity 1)  4 Cr 2.77, 4 Tc 2.83
Cr 0.0000 0.5000 0.5000 (multiplicity 1)  4 Tc 2.77, 4 Cr 2.83
Cr 0.5000 0.5000 0.0000 (multiplicity 1)  4 Ca 2.77, 4 Cr 2.83
Tc 0.5000 0.0000 0.5000 (multiplicity 1)  4 Cr 2.77, 4 Ca 2.83